Entry 1:
## LiTcAs2 (meta-GGA SCAN)

Data for a PBEsol-optimized structure of LiTcAs2.

a b c (Å): 3.101 3.890 4.940
angles (deg): 90.00 90.00 90.00
Atoms (fractional coordinates):
Li1 0.000 0.000 0.000
Tc1 0.500 0.500 0.319
As1 0.000 0.000 0.485
As2 0.500 0.500 0.830

Energy of formation   -10.27 kJ/mol of atoms
Relative energy among the computed polymorphs   304 meV/atom
Raw total energy   -78.26 eV/f.u.
Crystal system   orthorhombic
Magnetic moment   0.00 μB/atom

---

Entry 2:
## LiTbP4O12 (meta-GGA SCAN)

Data for a PBEsol-optimized structure of LiTbP4O12.

a b c (Å): 8.852 8.852 9.588
angles (deg): 122.75 122.75 46.69
Atoms (fractional coordinates):
Li1 0.207 0.793 0.750
Li2 0.793 0.207 0.250
Tb1 0.293 0.707 0.250
Tb2 0.707 0.293 0.750
P1 0.085 0.188 0.615
P2 0.188 0.085 0.115
P3 0.207 0.502 0.805
P4 0.498 0.793 0.695
P5 0.502 0.207 0.305
P6 0.793 0.498 0.195
P7 0.812 0.915 0.885
P8 0.915 0.812 0.385
O1 0.029 0.283 0.234
O2 0.063 0.066 0.426
O3 0.066 0.063 0.926
O4 0.104 0.670 0.316
O5 0.170 0.320 0.648
O6 0.259 0.487 0.976
O7 0.283 0.029 0.734
O8 0.320 0.170 0.148
O9 0.330 0.896 0.184
O10 0.350 0.512 0.776
O11 0.487 0.259 0.476
O12 0.488 0.650 0.724
O13 0.512 0.350 0.276
O14 0.513 0.741 0.524
O15 0.650 0.488 0.224
O16 0.670 0.104 0.816
O17 0.680 0.830 0.852
O18 0.717 0.971 0.266
O19 0.741 0.513 0.024
O20 0.830 0.680 0.352
O21 0.896 0.330 0.684
O22 0.934 0.937 0.074
O23 0.937 0.934 0.574
O24 0.971 0.717 0.766

E_form (uncorrected)   -49.28 eV/f.u.
Raw total energy   -214.81 eV/f.u.
Crystal system   monoclinic
Magnetic moment   0.00 μB/atom

---

Entry 3:
## CoReTe2 (meta-GGA SCAN)

Data for a PBEsol-optimized structure of CoReTe2.

a b c (Å): 6.508 6.508 6.508
angles (deg): 90.00 90.00 90.00
Atoms (fractional coordinates):
Co1 0.000 0.000 0.000
Co2 0.000 0.500 0.500
Co3 0.500 0.000 0.500
Co4 0.500 0.500 0.000
Re1 0.000 0.000 0.500
Re2 0.000 0.500 0.000
Re3 0.500 0.000 0.000
Re4 0.500 0.500 0.500
Te1 0.250 0.250 0.250
Te2 0.250 0.250 0.750
Te3 0.250 0.750 0.250
Te4 0.250 0.750 0.750
Te5 0.750 0.250 0.250
Te6 0.750 0.250 0.750
Te7 0.750 0.750 0.250
Te8 0.750 0.750 0.750

E_form (uncorrected)   2.38 eV/f.u.
Raw total energy   -160.52 eV/f.u.
Crystal system   cubic
Magnetic moment   0.48 μB/atom

---

Entry 4:
## BaLiIr2 (meta-GGA SCAN)

Data for a PBEsol-optimized structure of BaLiIr2.

a b c (Å): 4.329 4.329 16.440
angles (deg): 90.00 90.00 120.00
Atoms (fractional coordinates):
Ba1 0.000 0.000 0.000
Ba2 0.333 0.667 0.667
Ba3 0.667 0.333 0.333
Li1 0.000 0.000 0.811
Li2 0.333 0.667 0.478
Li3 0.667 0.333 0.145
Ir1 0.000 0.000 0.196
Ir2 0.000 0.000 0.526
Ir3 0.333 0.667 0.193
Ir4 0.333 0.667 0.862
Ir5 0.667 0.333 0.529
Ir6 0.667 0.333 0.859

Energy of formation   -30.88 kJ/mol of atoms
Relative energy among the computed polymorphs   0 meV/atom
Raw total energy   -185.42 eV/f.u.
Crystal system   trigonal
Magnetic moment   0.00 μB/atom

---

Entry 5:
## TlAg2W (meta-GGA SCAN)

Data for a PBEsol-optimized structure of TlAg2W.

a b c (Å): 2.849 4.072 6.110
angles (deg): 90.00 90.00 90.00
Atoms (fractional coordinates):
Tl1 0.000 0.000 0.000
Ag1 0.000 0.000 0.494
Ag2 0.500 0.500 0.726
W1 0.500 0.500 0.258

Energy of formation   80.03 kJ/mol of atoms
Relative energy among the computed polymorphs   58 meV/atom
Raw total energy   -201.46 eV/f.u.
Crystal system   orthorhombic
Magnetic moment   0.00 μB/atom

---

Entry 6:
## YMoAu2 (meta-GGA SCAN)

Data for a PBEsol-optimized structure of YMoAu2.

a b c (Å): 2.957 2.957 28.977
angles (deg): 90.00 90.00 120.00
Atoms (fractional coordinates):
Y1 0.000 0.000 0.000
Y2 0.333 0.667 0.667
Y3 0.667 0.333 0.333
Mo1 0.000 0.000 0.500
Mo2 0.333 0.667 0.167
Mo3 0.667 0.333 0.833
Au1 0.000 0.000 0.244
Au2 0.000 0.000 0.756
Au3 0.333 0.667 0.422
Au4 0.333 0.667 0.911
Au5 0.667 0.333 0.089
Au6 0.667 0.333 0.578

Energy of formation   21.79 kJ/mol of atoms
Relative energy among the computed polymorphs   454 meV/atom
Raw total energy   -200.14 eV/f.u.
Crystal system   trigonal
Magnetic moment   0.00 μB/atom

---

Entry 7:
## BAs5Pb6O20 (meta-GGA SCAN)

Data for a PBEsol-optimized structure of BAs5Pb6O20.

a b c (Å): 7.230 7.230 9.694
angles (deg): 90.00 90.00 90.00
Atoms (fractional coordinates):
B1 0.000 0.000 0.000
As1 0.200 0.774 0.802
As2 0.226 0.200 0.198
As3 0.500 0.500 0.500
As4 0.774 0.800 0.198
As5 0.800 0.226 0.802
Pb1 0.000 0.500 0.531
Pb2 0.277 0.663 0.174
Pb3 0.337 0.277 0.826
Pb4 0.500 0.000 0.469
Pb5 0.663 0.723 0.826
Pb6 0.723 0.337 0.174
O1 0.005 0.281 0.725
O2 0.041 0.167 0.081
O3 0.141 0.365 0.303
O4 0.167 0.959 0.919
O5 0.281 0.995 0.275
O6 0.295 0.600 0.899
O7 0.322 0.423 0.602
O8 0.365 0.859 0.697
O9 0.400 0.295 0.101
O10 0.423 0.678 0.398
O11 0.577 0.322 0.398
O12 0.600 0.705 0.101
O13 0.635 0.141 0.697
O14 0.678 0.577 0.602
O15 0.705 0.400 0.899
O16 0.719 0.005 0.275
O17 0.833 0.041 0.919
O18 0.859 0.635 0.303
O19 0.959 0.833 0.081
O20 0.995 0.719 0.725

E_form (uncorrected)   -47.83 eV/f.u.
Raw total energy   -735.53 eV/f.u.
Crystal system   tetragonal
Magnetic moment   0.00 μB/atom

---

Entry 8:
## BaPbSe (meta-GGA SCAN)

Data for a PBEsol-optimized structure of BaPbSe.

a b c (Å): 4.418 4.418 11.613
angles (deg): 90.00 90.00 90.00
Atoms (fractional coordinates):
Ba1 0.000 0.000 0.000
Ba2 0.500 0.500 0.500
Pb1 0.000 0.000 0.685
Pb2 0.500 0.500 0.185
Se1 0.000 0.000 0.447
Se2 0.500 0.500 0.947

E_form (uncorrected)   -3.06 eV/f.u.
Raw total energy   -138.47 eV/f.u.
Crystal system   tetragonal
Magnetic moment   0.00 μB/atom